1.
First-principles (PBE) data for BaZnIn2Os after structural relaxation, as listed in Alexandria via LeMat-Bulk.

Unit cell a=5.1972 b=5.1972 c=5.0655 alpha=90.00 beta=90.00 gamma=90.00
Closest atoms and distances in Å follow each position.
Space group P4/mmm (No. 123)
One atom of each set of equivalent atoms:
1 Ba 0.0000 0.0000 0.0000 x1  8 In 3.63, 4 Zn 3.67
2 Zn 0.5000 0.5000 0.0000 x1  2 Os 2.53
3 In 0.0000 0.5000 0.5000 x2  2 Os 2.60
4 Os 0.5000 0.5000 0.5000 x1  2 Zn 2.53, 4 In 2.60

Output
DFT formation energy: -54 kJ/mol of formula units

***

2.
First-principles (PBE) data for BaZn2InOs after structural relaxation, as listed in Alexandria via LeMat-Bulk.

Unit cell a=4.9970 b=4.9970 c=5.1547 alpha=90.00 beta=90.00 gamma=90.00
Closest atoms and distances in Å follow each position.
Space group P4/mmm (No. 123)
One atom of each set of equivalent atoms:
1 Ba 0.0000 0.0000 0.0000 x1  4 In 3.53, 8 Zn 3.59
2 Zn 0.0000 0.5000 0.5000 x2  2 Os 2.50
3 In 0.5000 0.5000 0.0000 x1  2 Os 2.58
4 Os 0.5000 0.5000 0.5000 x1  4 Zn 2.50, 2 In 2.58

Output
DFT formation energy: -32 kJ/mol of formula units

***

3.
First-principles (PBE) data for BaInP after structural relaxation, as listed in Alexandria via LeMat-Bulk.

Unit cell a=7.5041 b=7.5041 c=7.5041 alpha=90.00 beta=90.00 gamma=90.00
Closest atoms and distances in Å follow each position.
Space group F-43m (No. 216)
One atom of each set of equivalent atoms:
1 Ba 0.0000 0.0000 0.0000 x4  4 P 3.25
2 In 0.0000 0.0000 0.5000 x4  4 P 3.25
3 P 0.2500 0.2500 0.2500 x4  4 Ba 3.25, 4 In 3.25

Output
DFT formation energy: -105 kJ/mol of formula units

***

4.
First-principles (PBE) data for BaIn4P after structural relaxation, as listed in Alexandria via LeMat-Bulk.

Unit cell a=8.8880 b=8.8880 c=8.8880 alpha=90.00 beta=90.00 gamma=90.00
Closest atoms and distances in Å follow each position.
Space group F-43m (No. 216)
One atom of each set of equivalent atoms:
1 Ba 0.0000 0.0000 0.0000 x4  12 In 3.69, 4 P 3.85
2 In 0.1240 0.1240 0.6240 x16  6 In 3.12-3.17
3 P 0.2500 0.2500 0.2500 x4  12 In 3.68, 4 Ba 3.85

Output
DFT formation energy: 38 kJ/mol of formula units